(1)
This record from Alexandria via LeMat-Bulk describes a geometry-optimized AcErTm2 structure. The functional is GGA-PBE.

```
data_AcErTm2
_chemical_formula_sum 'Ac3 Er3 Tm6'
_cell_length_a 3.6512
_cell_length_b 3.6512
_cell_length_c 34.9315
_cell_angle_alpha 90.00
_cell_angle_beta 90.00
_cell_angle_gamma 120.00
_space_group_name_H-M_alt 'R 3 m'
_space_group_IT_number 160
_space_group_name_Hall 'R 3 -2"'
loop_
_atom_site_label
_atom_site_type_symbol
_atom_site_fract_x
_atom_site_fract_y
_atom_site_fract_z
Ac1 Ac 0.0000 0.0000 0.0000
Er1 Er 0.0000 0.0000 0.8343
Tm1 Tm 0.0000 0.0000 0.2462
Tm2 Tm 0.0000 0.0000 0.4216
```

Properties
VASP energy = -4.3196 eV/atom
Crystal system = trigonal
Excess energy over the best structure of this formula in the dataset = 8 meV/atom
Energy relative to the elements = 0.084 eV/atom

(2)
This record from Alexandria via LeMat-Bulk describes a geometry-optimized Cs2SmHg2Te4 structure. The functional is GGA-PBE.

```
data_Cs2SmHg2Te4
_chemical_formula_sum 'Cs4 Sm2 Hg4 Te8'
_cell_length_a 17.4139
_cell_length_b 4.9090
_cell_length_c 8.8523
_cell_angle_alpha 90.00
_cell_angle_beta 108.83
_cell_angle_gamma 90.00
_space_group_name_H-M_alt 'C 1 2/m 1'
_space_group_IT_number 12
_space_group_name_Hall '-C 2y'
loop_
_atom_site_label
_atom_site_type_symbol
_atom_site_fract_x
_atom_site_fract_y
_atom_site_fract_z
Cs1 Cs 0.1338 0.0000 0.0839
Sm1 Sm 0.0000 0.0000 0.5000
Hg1 Hg 0.1674 0.5000 0.4807
Te1 Te 0.9995 0.5000 0.2612
Te2 Te 0.1931 0.0000 0.6737
```

Properties
VASP energy = -2.9983 eV/atom
Crystal system = monoclinic
Formation energy (no corrections) = -821 meV per atom

(3)
This record from Alexandria via LeMat-Bulk describes a geometry-optimized BaLiSn2Os structure. The functional is GGA-PBE.

```
data_BaLiSn2Os
_chemical_formula_sum 'Ba1 Li1 Sn2 Os1'
_cell_length_a 4.8848
_cell_length_b 4.8848
_cell_length_c 5.3663
_cell_angle_alpha 90.00
_cell_angle_beta 90.00
_cell_angle_gamma 90.00
_space_group_name_H-M_alt 'P 4/m m m'
_space_group_IT_number 123
_space_group_name_Hall '-P 4 2'
loop_
_atom_site_label
_atom_site_type_symbol
_atom_site_fract_x
_atom_site_fract_y
_atom_site_fract_z
Ba1 Ba 0.0000 0.0000 0.0000
Li1 Li 0.0000 0.0000 0.5000
Sn1 Sn 0.0000 0.5000 0.5000
Os1 Os 0.5000 0.5000 0.0000
```

Properties
VASP energy = -3.7433 eV/atom
Crystal system = tetragonal
Energy relative to the elements = 0.871 eV/atom

(4)
This record from Alexandria via LeMat-Bulk describes a geometry-optimized FeTe2Ir structure. The functional is GGA-PBE.

```
data_FeTe2Ir
_chemical_formula_sum 'Fe3 Te6 Ir3'
_cell_length_a 3.9885
_cell_length_b 3.9885
_cell_length_c 23.2933
_cell_angle_alpha 90.00
_cell_angle_beta 90.00
_cell_angle_gamma 120.00
_space_group_name_H-M_alt 'R -3 m'
_space_group_IT_number 166
_space_group_name_Hall '-R 3 2"'
loop_
_atom_site_label
_atom_site_type_symbol
_atom_site_fract_x
_atom_site_fract_y
_atom_site_fract_z
Fe1 Fe 0.0000 0.0000 0.0000
Te1 Te 0.0000 0.0000 0.1084
Ir1 Ir 0.0000 0.0000 0.5000
```

Properties
VASP energy = -5.5410 eV/atom
Crystal system = trigonal
Excess energy over the best structure of this formula in the dataset = 359 meV/atom
Formation energy (no corrections) = 361 meV per atom